This record from OQMD describes an optimized crystal structure of As2Pt5. The functional is PBE-GGA.

- space group = C2/c (15)
- E (eV/atom) = -5.8898

Cell lengths 6.1704, 6.1704, 7.6551 Å; angles 97.26, 97.26, 53.61 degrees
Last column: nearest neighbours and their distance in Å.
Fractional coordinates of all 14 atoms:
As: 0.0671 0.2554 0.2742  6 Pt 2.45-2.62
As: 0.2554 0.0671 0.7742  6 Pt 2.45-2.62
As: 0.7446 0.9329 0.2258  6 Pt 2.45-2.62
As: 0.9329 0.7446 0.7258  6 Pt 2.45-2.62
Pt: 0.1233 0.6382 0.0353  2 As 2.46-2.49
Pt: 0.1374 0.5892 0.4169  3 As 2.45-2.62
Pt: 0.3618 0.8767 0.4647  2 As 2.46-2.49
Pt: 0.4046 0.5954 0.7500  2 As 2.47
Pt: 0.4108 0.8626 0.0831  3 As 2.45-2.62
Pt: 0.5892 0.1374 0.9169  3 As 2.45-2.62
Pt: 0.5954 0.4046 0.2500  2 As 2.47
Pt: 0.6382 0.1233 0.5353  2 As 2.46-2.49
Pt: 0.8626 0.4108 0.5831  3 As 2.45-2.62
Pt: 0.8767 0.3618 0.9647  2 As 2.46-2.49